{
  "formula": "ScHg2Ge2",
  "functional": "PBE",
  "state": "relaxed",
  "e_above_lowest_polymorph_mev_per_atom": 0.0,
  "energy_ev_per_atom": -3.266,
  "m_tot_mub_per_cell": 0.00,
  "cell": [[7.196, 0.000, 0.000], [0.000, 7.196, 0.000], [0.000, 0.000, 4.238]],
  "species": ["Sc", "Sc", "Ge", "Ge", "Ge", "Ge", "Hg", "Hg", "Hg", "Hg"],
  "fractional_positions": [[0.000, 0.000, 0.000], [0.500, 0.500, 0.000], [0.374, 0.874, 0.000], [0.874, 0.626, 0.000], [0.626, 0.126, 0.000], [0.126, 0.374, 0.000], [0.182, 0.682, 0.500], [0.682, 0.818, 0.500], [0.818, 0.318, 0.500], [0.318, 0.182, 0.500]]
}